## BaGe3H (PBE)

Data for BaGe3H after structural relaxation.

Summary:
Polymorph energy (0 for the lowest one) ... 1560 meV/atom
Theoretical density ... 2.63 g/cm3

Geometry as extended XYZ:
```
5
Lattice="6.078 0.000 0.000 0.000 6.078 0.000 0.000 0.000 6.078" Properties=species:S:1:pos:R:3 pbc="T T T"
Ge 0.000 0.000 3.039
Ge 0.000 3.039 0.000
H 3.039 3.039 3.039
Ge 3.039 0.000 0.000
Ba 0.000 0.000 0.000
```